VASP calculation (PBE) on an optimized crystal structure of NaHf2MnN. Values from VASP.

Values from the calculation:
Final energy in eV per cell: -39.569

```
&SYSTEM
  ibrav = 0, nat = 5, ntyp = 4
/
ATOMIC_SPECIES
Na 22.99 Na.upf
Mn 54.94 Mn.upf
Hf 178.49 Hf.upf
N 14.01 N.upf
CELL_PARAMETERS angstrom
4.613 0.000 0.000
0.000 3.666 0.000
0.000 0.000 4.613
ATOMIC_POSITIONS angstrom
Na 2.306 1.833 2.306
Mn 0.000 1.833 0.000
Hf 0.000 0.000 2.306
Hf 2.306 0.000 0.000
N 0.000 0.000 0.000
```